RbBaLa2 | PBE | optimized geometry

The energy above the most stable polymorph in this dataset comes out at 7.8 kJ per mole of atoms. Its density of states at the Fermi level is 1.9140 states/eV per atom. As for the formation enthalpy at 0 K: 0.63 eV per atom. As for the uncorrected energy: -40.979 eV per cell. As for the spin magnetization: 0.00 Bohr magnetons per cell.

The structure belongs to space group I-42d (No. 122); the cell edges are 10.2198, 10.2198 and 7.1812 Å and the angles 90.00°, 90.00° and 90.00°. The asymmetric unit holds Rb at (0.0000, 0.0000, 0.0000), Ba at (0.0000, 0.0000, 0.5000) and La at (0.2501, 0.2500, 0.1250).